(1)
Material: Ho3Bi2Ir
Method: DFT, PBE-GGA
State: relaxed

Structure (extended XYZ):
```
6
Lattice="3.715 0.000 0.000 0.000 6.099 0.000 0.000 -3.050 7.968" Properties=species:S:1:pos:R:3 pbc="T T T"
Ho 1.857 0.000 1.946
Ho 0.000 3.050 0.000
Ho 1.857 3.050 6.022
Ir 0.000 0.000 0.000
Bi 1.857 0.000 5.246
Bi 1.857 3.050 2.721
```

Computed properties:
- total magnetization (μB per cell) = 0.00
- crystal system = orthorhombic
- formation enthalpy at 0 K (eV/atom) = -0.5325

---

(2)
Material: Ho5BiIr2
Method: DFT, PBE-GGA
State: relaxed

Structure (extended XYZ):
```
16
Lattice="7.052 0.000 -3.329 -1.571 6.874 -3.329 -0.181 -0.227 8.749" Properties=species:S:1:pos:R:3 pbc="T T T"
Ho 4.561 1.298 3.377
Ho 6.081 3.205 -2.537
Ho 3.969 6.642 -3.575
Ho 0.000 0.000 0.000
Ho 2.740 3.437 -3.329
Ho -0.782 3.442 4.629
Ho 0.738 5.349 -1.285
Ho 1.330 0.005 5.667
Ho 2.449 4.735 2.338
Ho 2.850 1.912 -0.246
Bi 4.020 5.042 -0.618
Bi 1.279 1.605 2.710
Ir 4.295 0.965 -2.599
Ir 0.425 2.472 -1.664
Ir 5.055 4.402 -4.993
Ir 1.185 5.909 -4.058
```

Computed properties:
- total magnetization (μB per cell) = 0.00
- crystal system = tetragonal
- formation enthalpy at 0 K (eV/atom) = -0.7776

---

(3)
Material: Ho8Bi2Ir3
Method: DFT, PBE-GGA
State: relaxed

Structure (extended XYZ):
```
13
Lattice="4.841 0.000 0.000 0.000 8.444 -4.851 0.000 -0.402 9.073" Properties=species:S:1:pos:R:3 pbc="T T T"
Bi 2.420 1.962 3.408
Bi 2.420 6.080 0.813
Ir 2.420 0.000 0.000
Ir 0.000 6.334 -3.637
Ir 0.000 1.709 7.859
Ho 0.000 7.203 2.761
Ho 2.420 7.195 -2.226
Ho 4.841 5.027 -1.026
Ho 0.000 3.016 5.248
Ho 2.420 5.146 3.984
Ho 4.841 0.840 1.461
Ho 2.420 0.848 6.447
Ho 2.420 2.896 0.238
```

Computed properties:
- total magnetization (μB per cell) = 0.00
- crystal system = monoclinic
- formation enthalpy at 0 K (eV/atom) = -0.6738
- offset from the most stable computed form (meV per atom) = 0.0

---

(4)
Material: Ho2BiIr
Method: DFT, PBE-GGA
State: relaxed

Structure (extended XYZ):
```
4
Lattice="-2.934 -2.366 1.149 0.634 -2.717 2.783 -2.859 3.677 7.030" Properties=species:S:1:pos:R:3 pbc="T T T"
Ir 0.000 0.000 0.000
Bi -2.580 -0.703 5.481
Ho -3.989 -0.748 8.549
Ho -1.170 -0.658 2.414
```

Computed properties:
- total magnetization (μB per cell) = 0.00
- crystal system = trigonal
- formation enthalpy at 0 K (eV/atom) = -0.6391
- offset from the most stable computed form (meV per atom) = 175.2

---

(5)
Material: Ho7Bi2Ir2
Method: DFT, PBE-GGA
State: relaxed

Structure (extended XYZ):
```
11
Lattice="3.929 0.000 0.000 1.964 9.388 0.083 1.964 4.524 8.226" Properties=species:S:1:pos:R:3 pbc="T T T"
Ho 5.893 7.907 7.405
Ho 3.929 10.844 7.602
Ho 3.929 2.078 2.366
Ho 3.929 4.645 8.023
Ho 3.929 5.648 2.212
Ho 1.964 3.643 4.858
Ho 3.929 9.287 4.385
Ir 5.893 11.010 5.541
Ir 1.964 3.813 1.243
Bi 1.964 8.242 2.001
Bi 3.929 6.257 5.326
```

Computed properties:
- total magnetization (μB per cell) = 0.91
- crystal system = orthorhombic
- formation enthalpy at 0 K (eV/atom) = -0.6827

---

(6)
Material: Ho4Bi2Ir
Method: DFT, PBE-GGA
State: relaxed

Structure (extended XYZ):
```
14
Lattice="4.376 0.000 0.000 0.000 7.895 0.000 0.000 0.000 12.269" Properties=species:S:1:pos:R:3 pbc="T T T"
Ho 2.188 6.234 6.840
Ho 0.000 4.952 9.845
Ho 2.188 2.286 11.563
Ho 2.188 5.609 0.705
Ho 0.000 2.943 2.424
Ho 0.000 6.891 3.711
Ho 2.188 1.661 5.429
Ho 0.000 1.004 8.558
Ir 0.000 0.000 6.134
Ir 0.000 3.948 0.000
Bi 2.188 4.583 4.040
Bi 2.188 3.312 8.228
Bi 2.188 0.636 2.094
Bi 2.188 7.260 10.175
```

Computed properties:
- total magnetization (μB per cell) = 0.00
- crystal system = orthorhombic
- formation enthalpy at 0 K (eV/atom) = -0.7353

---

(7)
Material: Ho3BiIr
Method: DFT, PBE-GGA
State: relaxed

Structure (extended XYZ):
```
10
Lattice="-0.203 2.768 3.378 0.808 -5.253 4.352 9.219 1.118 -0.362" Properties=species:S:1:pos:R:3 pbc="T T T"
Bi 8.452 -2.290 3.798
Bi 1.372 0.923 3.570
Ho 3.593 -1.531 2.885
Ho 8.500 0.391 1.604
Ho 6.231 0.164 4.484
Ho 6.632 -2.441 6.642
Ho 3.193 1.075 0.726
Ho 1.324 -1.758 5.764
Ir 5.699 0.052 1.715
Ir 4.125 -1.418 5.654
```

Computed properties:
- total magnetization (μB per cell) = 0.00
- crystal system = orthorhombic
- formation enthalpy at 0 K (eV/atom) = -0.7453
- offset from the most stable computed form (meV per atom) = 20.2

---

(8)
Material: Ho8Bi2Ir3
Method: DFT, PBE-GGA
State: relaxed

Structure (extended XYZ):
```
13
Lattice="6.821 0.000 0.233 0.000 7.996 0.000 -2.500 -3.998 7.619" Properties=species:S:1:pos:R:3 pbc="T T T"
Ho 2.179 1.911 1.656
Ho 2.179 6.085 1.656
Ho 5.532 3.998 1.559
Ho 5.690 0.000 1.672
Ho 2.143 -2.087 6.196
Ho 2.143 2.087 6.196
Ho -1.210 0.000 6.293
Ho -1.368 3.998 6.180
Ir 0.000 2.042 0.000
Ir 0.000 5.954 0.000
Ir 3.411 0.000 0.117
Bi 0.976 0.000 4.000
Bi 3.346 3.998 3.852
```

Computed properties:
- total magnetization (μB per cell) = 0.00
- crystal system = monoclinic
- formation enthalpy at 0 K (eV/atom) = -0.6145
- offset from the most stable computed form (meV per atom) = 59.3